[1]
A relaxed structure of Tb3Nd8Sc2, computed with PBE-GGA.

## Properties
Fermi-level density of states   1.406 states/eV/atom
Theoretical density   6.46 g/cm³
Total DFT energy (no corrections)   -123.80 eV per cell

Cell and atoms, written as CIF:
```
data_Tb3Nd8Sc2
_cell_length_a 19.8417
_cell_length_b 7.7923
_cell_length_c 5.7225
_cell_angle_alpha 90.00
_cell_angle_beta 90.03
_cell_angle_gamma 90.00
_symmetry_space_group_name_H-M 'C 1 2/m 1'
_symmetry_Int_Tables_number 12
_symmetry_space_group_name_Hall '-C 2y'
loop_
_atom_site_label
_atom_site_fract_x
_atom_site_fract_y
_atom_site_fract_z
_atom_site_occupancy
Tb1 0.0000 0.0000 0.0000 1
Tb2 0.0000 0.2878 0.5000 1
Nd1 0.1108 0.2950 0.0003 1
Nd2 0.1328 0.0000 0.4999 1
Nd3 0.1794 0.5000 0.5008 1
Sc1 0.2396 0.0000 0.9990 1
```

***

[2]
A relaxed structure of LiMgSi2, computed with PBE-GGA.

## Properties
Fermi-level density of states   0.380 states/eV/atom
Theoretical density   2.16 g/cm³
Formation energy from raw total energies   20 meV/atom

Cell and atoms, written as CIF:
```
data_LiMgSi2
_cell_length_a 8.6000
_cell_length_b 2.9511
_cell_length_c 5.3852
_cell_angle_alpha 90.00
_cell_angle_beta 101.04
_cell_angle_gamma 90.00
_symmetry_space_group_name_H-M 'C 1 2/m 1'
_symmetry_Int_Tables_number 12
_symmetry_space_group_name_Hall '-C 2y'
loop_
_atom_site_label
_atom_site_fract_x
_atom_site_fract_y
_atom_site_fract_z
_atom_site_occupancy
Li1 0.0000 0.0000 0.0000 1
Mg1 0.0000 0.5000 0.5000 1
Si1 0.2474 0.5000 0.1918 1
```

***

[3]
A relaxed structure of TcAsI2, computed with PBE-GGA.

## Properties
Fermi-level density of states   0.297 states/eV/atom
Theoretical density   5.90 g/cm³
Formation energy from raw total energies   216 meV/atom
Excess energy over the best structure of this formula in the dataset   0 meV/atom

Cell and atoms, written as CIF:
```
data_TcAsI2
_cell_length_a 10.0686
_cell_length_b 10.0686
_cell_length_c 4.7386
_cell_angle_alpha 90.00
_cell_angle_beta 90.00
_cell_angle_gamma 90.00
_symmetry_space_group_name_H-M 'I -4 2 d'
_symmetry_Int_Tables_number 122
_symmetry_space_group_name_Hall 'I -4 2bw'
loop_
_atom_site_label
_atom_site_fract_x
_atom_site_fract_y
_atom_site_fract_z
_atom_site_occupancy
Tc1 0.0000 0.0000 0.0000 1
As1 0.0000 0.0000 0.5000 1
I1 0.1027 0.2500 0.1250 1
```

***

[4]
A relaxed structure of In2GaHg9, computed with PBE-GGA.

## Properties
Fermi-level density of states   0.465 states/eV/atom
Theoretical density   10.94 g/cm³
Total DFT energy (no corrections)   -10.85 eV per cell

Cell and atoms, written as CIF:
```
data_In2GaHg9
_cell_length_a 4.7447
_cell_length_b 4.7447
_cell_length_c 14.1934
_cell_angle_alpha 90.00
_cell_angle_beta 90.00
_cell_angle_gamma 90.00
_symmetry_space_group_name_H-M 'P 4/m m m'
_symmetry_Int_Tables_number 123
_symmetry_space_group_name_Hall '-P 4 2'
loop_
_atom_site_label
_atom_site_fract_x
_atom_site_fract_y
_atom_site_fract_z
_atom_site_occupancy
In1 0.0000 0.0000 0.1749 1
Ga1 0.0000 0.0000 0.5000 1
Hg1 0.0000 0.5000 0.0000 1
Hg2 0.0000 0.5000 0.3438 1
Hg3 0.5000 0.5000 0.1712 1
Hg4 0.5000 0.5000 0.5000 1
```